(1)
The following is a PBE calculation of a relaxed Ba6GeAs2I3 crystal, from Alexandria.

a b c (Å): 8.438 8.438 8.916
angles (deg): 99.08 99.08 120.03
Fractional coordinates of all 12 atoms:
Ba 0.931 0.593 0.794
Ba 0.730 0.730 0.207
Ba 0.069 0.407 0.206
Ba 0.593 0.931 0.794
Ba 0.270 0.270 0.793
Ba 0.407 0.069 0.206
Ge 0.000 0.000 0.000
As 0.333 0.667 0.000
As 0.667 0.333 0.000
I 0.167 0.833 0.500
I 0.833 0.167 0.500
I 0.500 0.500 0.500

Summary:
total energy: -3.789 eV per atom
raw formation energy: -1.281 eV per atom

***

(2)
The following is a PBE calculation of a relaxed Ba8GeAs3I4 crystal, from Alexandria.

a b c (Å): 9.741 10.151 9.741
angles (deg): 118.70 120.00 90.00
Fractional coordinates of all 16 atoms:
Ba 0.237 0.707 0.970
Ba 0.237 0.707 0.475
Ba 0.266 0.297 0.531
Ba 0.732 0.707 0.970
Ba 0.268 0.293 0.030
Ba 0.734 0.703 0.469
Ba 0.763 0.293 0.525
Ba 0.763 0.293 0.030
Ge 0.000 0.500 0.000
As 0.500 0.500 0.000
As 0.500 0.500 0.500
As 0.000 0.500 0.500
I 0.500 0.000 0.000
I 0.500 0.000 0.500
I 0.000 0.000 0.000
I 0.000 0.000 0.500

Summary:
total energy: -3.838 eV per atom
raw formation energy: -1.329 eV per atom

***

(3)
The following is a PBE calculation of a relaxed Ba8GeAs3I3 crystal, from Alexandria.

a b c (Å): 9.759 9.759 10.152
angles (deg): 118.76 90.00 120.00
Fractional coordinates of all 15 atoms:
Ba 0.266 0.532 0.299
Ba 0.734 0.468 0.701
Ba 0.769 0.538 0.300
Ba 0.231 0.462 0.700
Ba 0.769 0.031 0.300
Ba 0.231 0.969 0.700
Ba 0.262 0.031 0.300
Ba 0.738 0.969 0.700
Ge 0.000 0.000 0.500
As 0.500 0.000 0.500
As 0.500 0.500 0.500
As 0.000 0.500 0.500
I 0.000 0.000 0.000
I 0.000 0.500 0.000
I 0.500 0.500 0.000

Summary:
total energy: -3.796 eV per atom
raw formation energy: -1.223 eV per atom

***

Number 1: M_tot 1.1 μB per formula unit. Number 2: M_tot 1.1 μB per formula unit. Number 3: M_tot 0.0 μB per formula unit.